Sr2Zn3Ga4Rh: optimized geometry, PBE.

ΔH_f (0 K) (eV/atom): -0.4048
N(E_F) (states/eV/cell): 3.88

a = 4.414 Å, b = 4.414 Å, c = 10.579 Å
α = 90.00°, β = 90.00°, γ = 90.00°
Fractional coordinates of all 10 atoms:
Sr  0.500  0.000  0.255
Sr  0.000  0.500  0.745
Zn  0.000  0.000  0.500
Zn  0.500  0.000  0.863
Zn  0.000  0.500  0.137
Ga  0.500  0.500  0.000
Ga  0.000  0.000  0.000
Ga  0.500  0.000  0.618
Ga  0.000  0.500  0.382
Rh  0.500  0.500  0.500